# Dy5Bi2H2 PBE optimized geometry
# DOS(E_F) = 12.459 states/eV/cell
# VASP energy = -41.1 eV per formula unit
data_Dy5Bi2H2
_chemical_formula_sum 'Dy10 Bi4 H4'
_cell_length_a 12.292
_cell_length_b 5.461
_cell_length_c 6.551
_cell_angle_alpha 90.00
_cell_angle_beta 103.21
_cell_angle_gamma 90.00
_space_group_name_H-M_alt 'C 1 2/m 1'
_space_group_IT_number 12
loop_
_space_group_symop_operation_xyz
'x,y,z'
'-x,-y,-z'
'-x,y,-z'
'x,-y,z'
'x+1/2,y+1/2,z'
'-x+1/2,-y+1/2,-z'
'-x+1/2,y+1/2,-z'
'x+1/2,-y+1/2,z'
loop_
_atom_site_label
_atom_site_fract_x
_atom_site_fract_y
_atom_site_fract_z
_atom_site_occupancy
Dy1 0.000 0.000 0.000 1
Dy2 0.144 0.000 0.555 1
Dy3 0.180 0.500 0.876 1
Bi1 0.089 0.500 0.304 1
H1 0.161 0.000 0.892 1